(1)
{
  "formula": "RbBaCd",
  "functional": "GGA-PBE",
  "state": "relaxed",
  "lattice_angstrom": [[8.6476, 0.0000, 0.0000], [0.0000, 8.6476, 0.0000], [0.0000, 0.0000, 8.6476]],
  "species": ["Rb", "Rb", "Rb", "Rb", "Ba", "Ba", "Ba", "Ba", "Cd", "Cd", "Cd", "Cd"],
  "fractional_positions": [[0.0000, 0.0000, 0.0000], [0.0000, 0.5000, 0.5000], [0.5000, 0.0000, 0.5000], [0.5000, 0.5000, 0.0000], [0.0000, 0.0000, 0.5000], [0.0000, 0.5000, 0.0000], [0.5000, 0.0000, 0.0000], [0.5000, 0.5000, 0.5000], [0.2500, 0.2500, 0.7500], [0.2500, 0.7500, 0.2500], [0.7500, 0.2500, 0.2500], [0.7500, 0.7500, 0.7500]],
  "relative_energy_mev_per_atom": 0.0,
  "vol_a3_per_atom": 53.89
}

---

(2)
{
  "formula": "K5Ni3C3",
  "functional": "GGA-PBE",
  "state": "relaxed",
  "lattice_angstrom": [[9.2662, 0.0000, 0.0000], [-4.6331, 8.0247, 0.0000], [0.0000, 0.0000, 3.5903]],
  "species": ["K", "K", "K", "K", "K", "Ni", "Ni", "Ni", "C", "C", "C"],
  "fractional_positions": [[0.0000, 0.7360, 0.0000], [0.2640, 0.2640, 0.0000], [0.3333, 0.6667, 0.0000], [0.6667, 0.3333, 0.0000], [0.7360, 0.0000, 0.0000], [0.0000, 0.3644, 0.5000], [0.3644, 0.0000, 0.5000], [0.6356, 0.6356, 0.5000], [0.0000, 0.3650, 0.0000], [0.3650, 0.0000, 0.0000], [0.6350, 0.6350, 0.0000]],
  "dft_energy_ev_per_atom": -4.0501,
  "vol_a3_per_atom": 24.27
}

---

(3)
{
  "formula": "SrCdO2",
  "functional": "GGA-PBE",
  "state": "relaxed",
  "lattice_angstrom": [[3.4541, 0.0000, 0.0000], [0.0000, 17.6539, 0.0000], [0.0000, 0.0000, 4.3252]],
  "species": ["Sr", "Sr", "Sr", "Sr", "Cd", "Cd", "Cd", "Cd", "O", "O", "O", "O", "O", "O", "O", "O"],
  "fractional_positions": [[0.0000, 0.1766, 0.2500], [0.0000, 0.8234, 0.7500], [0.5000, 0.3234, 0.7500], [0.5000, 0.6766, 0.2500], [0.0000, 0.4373, 0.2500], [0.0000, 0.5627, 0.7500], [0.5000, 0.0627, 0.7500], [0.5000, 0.9373, 0.2500], [0.0000, 0.3122, 0.2500], [0.0000, 0.4342, 0.7500], [0.0000, 0.5658, 0.2500], [0.0000, 0.6878, 0.7500], [0.5000, 0.0658, 0.2500], [0.5000, 0.1878, 0.7500], [0.5000, 0.8122, 0.2500], [0.5000, 0.9342, 0.7500]],
  "dft_energy_ev_per_atom": -4.8474,
  "vol_a3_per_atom": 16.48
}

---

(4)
{
  "formula": "MgBePd",
  "functional": "GGA-PBE",
  "state": "relaxed",
  "lattice_angstrom": [[5.8325, 0.0000, 0.0000], [0.0000, 5.8325, 0.0000], [0.0000, 0.0000, 5.8325]],
  "species": ["Mg", "Mg", "Mg", "Mg", "Be", "Be", "Be", "Be", "Pd", "Pd", "Pd", "Pd"],
  "fractional_positions": [[0.0000, 0.0000, 0.0000], [0.0000, 0.5000, 0.5000], [0.5000, 0.0000, 0.5000], [0.5000, 0.5000, 0.0000], [0.0000, 0.0000, 0.5000], [0.0000, 0.5000, 0.0000], [0.5000, 0.0000, 0.0000], [0.5000, 0.5000, 0.5000], [0.2500, 0.2500, 0.7500], [0.2500, 0.7500, 0.2500], [0.7500, 0.2500, 0.2500], [0.7500, 0.7500, 0.7500]],
  "relative_energy_mev_per_atom": 0.0,
  "vol_a3_per_atom": 16.53
}

---

(5)
{
  "formula": "BAsPd",
  "functional": "GGA-PBE",
  "state": "relaxed",
  "lattice_angstrom": [[5.5269, 0.0000, 0.0000], [0.0000, 5.5269, 0.0000], [0.0000, 0.0000, 5.5269]],
  "species": ["B", "B", "B", "B", "As", "As", "As", "As", "Pd", "Pd", "Pd", "Pd"],
  "fractional_positions": [[0.0000, 0.0000, 0.0000], [0.0000, 0.5000, 0.5000], [0.5000, 0.0000, 0.5000], [0.5000, 0.5000, 0.0000], [0.2500, 0.2500, 0.7500], [0.2500, 0.7500, 0.2500], [0.7500, 0.2500, 0.2500], [0.7500, 0.7500, 0.7500], [0.2500, 0.2500, 0.2500], [0.2500, 0.7500, 0.7500], [0.7500, 0.2500, 0.7500], [0.7500, 0.7500, 0.2500]],
  "dft_energy_ev_per_atom": -5.0324,
  "vol_a3_per_atom": 14.07
}

---

(6)
{
  "formula": "NaPrCdSe3",
  "functional": "GGA-PBE",
  "state": "relaxed",
  "lattice_angstrom": [[8.2542, 0.0000, 0.0000], [0.0000, 4.3219, 0.0000], [0.0000, 0.0000, 17.6259]],
  "species": ["Na", "Na", "Na", "Na", "Pr", "Pr", "Pr", "Pr", "Cd", "Cd", "Cd", "Cd", "Se", "Se", "Se", "Se", "Se", "Se", "Se", "Se", "Se", "Se", "Se", "Se"],
  "fractional_positions": [[0.0638, 0.2500, 0.1995], [0.4362, 0.7500, 0.6995], [0.5638, 0.2500, 0.3005], [0.9362, 0.7500, 0.8005], [0.2280, 0.2500, 0.9614], [0.2720, 0.7500, 0.4614], [0.7280, 0.2500, 0.5386], [0.7720, 0.7500, 0.0386], [0.0705, 0.2500, 0.6624], [0.4295, 0.7500, 0.1624], [0.5705, 0.2500, 0.8376], [0.9295, 0.7500, 0.3376], [0.0110, 0.2500, 0.4217], [0.1270, 0.7500, 0.0683], [0.2301, 0.2500, 0.7896], [0.2699, 0.7500, 0.2896], [0.3730, 0.2500, 0.5683], [0.4890, 0.7500, 0.9217], [0.5110, 0.2500, 0.0783], [0.6270, 0.7500, 0.4317], [0.7301, 0.2500, 0.7104], [0.7699, 0.7500, 0.2104], [0.8730, 0.2500, 0.9317], [0.9890, 0.7500, 0.5783]],
  "relative_energy_mev_per_atom": 38.4,
  "vol_a3_per_atom": 26.20
}

---

(7)
{
  "formula": "TaTlAuSeS2",
  "functional": "GGA-PBE",
  "state": "relaxed",
  "lattice_angstrom": [[1.7635, -7.9244, 0.0000], [1.7635, 7.9244, 0.0000], [0.0000, 0.0000, 10.0442]],
  "species": ["Ta", "Ta", "Tl", "Tl", "Au", "Au", "Se", "Se", "S", "S", "S", "S"],
  "fractional_positions": [[0.0000, 0.0000, 0.0000], [0.0000, 0.0000, 0.5000], [0.2562, 0.7438, 0.7500], [0.7438, 0.2562, 0.2500], [0.4269, 0.5731, 0.2500], [0.5731, 0.4269, 0.7500], [0.0684, 0.9316, 0.2500], [0.9316, 0.0684, 0.7500], [0.3885, 0.6115, 0.0217], [0.3885, 0.6115, 0.4783], [0.6115, 0.3885, 0.5217], [0.6115, 0.3885, 0.9783]],
  "dft_energy_ev_per_atom": -5.2896,
  "vol_a3_per_atom": 23.39
}

---

(8)
{
  "formula": "TaTcBiAu",
  "functional": "GGA-PBE",
  "state": "relaxed",
  "lattice_angstrom": [[6.7617, 0.0000, 0.0000], [0.0000, 6.7617, 0.0000], [0.0000, 0.0000, 6.7617]],
  "species": ["Ta", "Ta", "Ta", "Ta", "Tc", "Tc", "Tc", "Tc", "Bi", "Bi", "Bi", "Bi", "Au", "Au", "Au", "Au"],
  "fractional_positions": [[0.0000, 0.0000, 0.0000], [0.0000, 0.5000, 0.5000], [0.5000, 0.0000, 0.5000], [0.5000, 0.5000, 0.0000], [0.2500, 0.2500, 0.7500], [0.2500, 0.7500, 0.2500], [0.7500, 0.2500, 0.2500], [0.7500, 0.7500, 0.7500], [0.2500, 0.2500, 0.2500], [0.2500, 0.7500, 0.7500], [0.7500, 0.2500, 0.7500], [0.7500, 0.7500, 0.2500], [0.0000, 0.0000, 0.5000], [0.0000, 0.5000, 0.0000], [0.5000, 0.0000, 0.0000], [0.5000, 0.5000, 0.5000]],
  "relative_energy_mev_per_atom": 151.5,
  "vol_a3_per_atom": 19.32
}